The following is a PBE calculation of a relaxed Ti3AuN crystal, from Alexandria.

Values from the calculation:
Uncorrected formation energy, meV per atom: -274

Lattice parameters (Å, degrees): 5.177 5.177 12.231 90.00 90.00 90.00
Space group I-4m2 (No. 119)
Inequivalent atoms, fractional coordinates:
Ti1 0.000 0.000 0.205 (multiplicity 4)
Ti2 0.000 0.262 0.609 (multiplicity 8)
Au1 0.000 0.500 0.125 (multiplicity 4)
N1 0.000 0.000 0.500 (multiplicity 2)
N2 0.000 0.500 0.750 (multiplicity 2)